First-principles (PBE-GGA) data for an optimized crystal structure of Sr6Cd5In, as listed in Alexandria.

```
data_Sr6Cd5In
_cell_length_a 5.700
_cell_length_b 8.287
_cell_length_c 8.994
_cell_angle_alpha 90.00
_cell_angle_beta 108.44
_cell_angle_gamma 90.00
_symmetry_space_group_name_H-M 'P 1'
_symmetry_Int_Tables_number 1
_symmetry_space_group_name_Hall 'P 1'
loop_
_atom_site_label
_atom_site_fract_x
_atom_site_fract_y
_atom_site_fract_z
Sr1 0.166 0.251 0.333
Sr2 0.500 0.252 0.000
Sr3 0.166 0.749 0.333
Sr4 0.834 0.251 0.667
Sr5 0.500 0.748 0.000
Sr6 0.834 0.749 0.667
Cd1 0.000 0.500 0.000
Cd2 0.338 0.000 0.672
Cd3 0.665 0.500 0.334
Cd4 0.335 0.500 0.666
Cd5 0.662 0.000 0.328
In1 0.000 0.000 0.000
```

Computed properties:
Magnetic moment (μB/f.u.): 0.0
Calculated formation energy (eV/atom): -0.354

***

First-principles (PBE-GGA) data for an optimized crystal structure of SrCd2In, as listed in Alexandria.

```
data_SrCd2In
_cell_length_a 6.078
_cell_length_b 6.453
_cell_length_c 3.497
_cell_angle_alpha 77.07
_cell_angle_beta 84.24
_cell_angle_gamma 116.35
_symmetry_space_group_name_H-M 'P 1'
_symmetry_Int_Tables_number 1
_symmetry_space_group_name_Hall 'P 1'
loop_
_atom_site_label
_atom_site_fract_x
_atom_site_fract_y
_atom_site_fract_z
In1 0.000 0.500 0.500
Cd1 0.000 0.000 0.000
Cd2 0.500 0.000 0.500
Sr1 0.500 0.500 0.000
```

Computed properties:
Magnetic moment (μB/f.u.): 0.0
Calculated formation energy (eV/atom): -0.090